Record 1
This record from Alexandria describes a relaxed structure of BPtBr3. The functional is PBE.

Mass density: 5.41 Mg/m³
Symmetry: Pm-3m, No. 221
V: 27.34 Å³/atom
Raw total energy: -2.64 eV per atom
Formation energy from raw total energies: 905 meV per atom

Unit cell a=5.151 b=5.151 c=5.151 alpha=90.00 beta=90.00 gamma=90.00
Element x y z (fractional)
B 0.000 0.000 0.000
Pt 0.500 0.500 0.500
Br 0.000 0.500 0.500
Br 0.500 0.000 0.500
Br 0.500 0.500 0.000

=====

Record 2
This record from Alexandria describes a relaxed structure of TiAg2. The functional is PBE.

Mass density: 7.73 Mg/m³
Symmetry: Fd-3m, No. 227
V: 18.87 Å³/atom
Raw total energy: -4.25 eV per atom
Energy of formation from the pure elements: 280.5 meV/atom

Unit cell a=5.430 b=5.430 c=5.430 alpha=60.00 beta=60.00 gamma=60.00
Element x y z (fractional)
Ti 0.125 0.125 0.125
Ti 0.875 0.875 0.875
Ag 0.000 0.500 0.500
Ag 0.500 0.000 0.500
Ag 0.500 0.500 0.000
Ag 0.500 0.500 0.500

=====

Record 3
This record from Alexandria describes a relaxed structure of CsNpTeBr2. The functional is PBE.

Mass density: 5.41 Mg/m³
Symmetry: Cmcm, No. 63
V: 40.38 Å³/atom
Raw total energy: -5.30 eV per atom
Formation energy from raw total energies: -1247 meV per atom

Unit cell a=10.308 b=10.308 c=8.820 alpha=90.00 beta=90.00 gamma=154.48
Element x y z (fractional)
Cs 0.207 0.793 0.750
Cs 0.793 0.207 0.250
Np 0.500 0.500 0.000
Np 0.500 0.500 0.500
Te 0.006 0.994 0.750
Te 0.994 0.006 0.250
Br 0.358 0.642 0.521
Br 0.358 0.642 0.979
Br 0.642 0.358 0.021
Br 0.642 0.358 0.479

=====

Record 4
This record from Alexandria describes a relaxed structure of CaGeO2F. The functional is PBE.

Mass density: 3.37 Mg/m³
Symmetry: P4/mmm, No. 123
V: 16.12 Å³/atom
Raw total energy: -4.91 eV per atom
Formation energy from raw total energies: -1230 meV per atom

Unit cell a=4.367 b=4.367 c=4.227 alpha=90.00 beta=90.00 gamma=90.00
Element x y z (fractional)
Ca 0.000 0.000 0.000
Ge 0.500 0.500 0.500
O 0.000 0.500 0.000
O 0.500 0.000 0.000
F 0.000 0.000 0.500